Below is a geometry-optimized CsK14Tl structure, with properties calculated at the PBE level.

It has space group Cmmm (No. 65), with a = 14.956 Å, b = 14.967 Å, c = 9.868 Å, α = 90.00°, β = 90.00° and γ = 90.00°. Symmetry generates all atoms from Cs at (0.000, 0.000, 0.000), K at (0.000, 0.000, 0.500), K at (0.000, 0.280, 0.231), K at (0.000, 0.500, 0.500), K at (0.220, 0.500, 0.231), K at (0.250, 0.250, 0.000), K at (0.250, 0.250, 0.500) and Tl at (0.000, 0.500, 0.000).

The value obtained for the formation energy is 0.011 eV/atom. The calculation puts the total energy at -36.8 eV per cell. Its volume is 2209.0 Å³ per cell. The calculation puts the density of states at the Fermi level at 0.823 states/eV per atom.